A plane-wave DFT calculation with PBE was carried out for an optimized crystal structure of NaPa2F8.

Properties
Formation energy (no corrections), meV per atom: -3411
Calculated total energy, eV for the cell shown: -72.80
Energy above the most stable polymorph in this dataset, eV/f.u.: 1.07
Calculated density, g/cm³: 7.37

Unit cell a=3.798 b=6.749 c=6.806 alpha=119.73 beta=106.20 gamma=90.00
Positions (direct):
Na1 0.500 0.000 0.000
Pa1 0.183 0.683 0.366
Pa2 0.817 0.317 0.634
F1 0.659 0.892 0.317
F2 0.341 0.575 0.683
F3 0.174 0.174 0.348
F4 0.000 0.321 0.000
F5 0.826 0.826 0.652
F6 0.659 0.425 0.317
F7 0.341 0.108 0.683
F8 0.000 0.679 0.000